This record from Alexandria via LeMat-Bulk describes a relaxed BeCuIr2 crystal. The functional is GGA-PBE.

Calculated values
ΔH_f (0 K)	0.113	eV per atom
symmetry	Cmm2

abc: 2.6588 2.6588 8.2909
angles: 90.00 90.00 118.10
With the nearest neighbours (Å) after each atom.
Atoms (fractional coordinates):
1 Ir 0.5000 0.5000 0.2838  2 Be 2.27
2 Ir 0.0000 0.0000 0.9911  2 Cu 2.62, 8 Ir 2.66-2.79
3 Be 0.0000 0.0000 0.5030  2 Cu 2.27, 2 Ir 2.27
4 Cu 0.5000 0.5000 0.7221  2 Be 2.27